A plane-wave DFT calculation with PBE was carried out for crystalline LaSm3Y6Ho2 at its relaxed geometry.

Unit cell a=6.225 b=6.225 c=11.883 alpha=94.99 beta=94.99 gamma=119.97
Atoms (fractional coordinates):
Y: 0.418 0.084 0.250
Y: 0.916 0.582 0.750
Y: 0.084 0.418 0.250
Sm: 0.500 0.500 0.500
Sm: 0.167 0.833 0.500
Sm: 0.833 0.167 0.500
Y: 0.582 0.916 0.750
Ho: 0.667 0.333 0.000
La: 0.000 0.000 0.000
Y: 0.749 0.749 0.250
Y: 0.251 0.251 0.750
Ho: 0.333 0.667 0.000

Output
Fermi-level density of states (states/eV/f.u.): 16.26
Energy relative to the elements (eV per atom): 0.02
Space-group type: C2/m, No. 12
Total magnetization (μB/f.u.): 0.000
V (Å³/cell): 393